This record from the Alexandria database describes Tl5ZnAu6 after structural relaxation. The functional is GGA-PBE.

Cell lengths 7.386, 7.386, 7.426 Å; angles 100.82, 100.82, 127.84 degrees
Element x y z (fractional)
Tl (0.000, 0.000, 0.000)
Tl (0.136, 0.864, 0.500)
Tl (0.298, 0.702, 0.000)
Tl (0.702, 0.298, 0.000)
Tl (0.864, 0.136, 0.500)
Zn (0.500, 0.500, 0.500)
Au (0.153, 0.476, 0.297)
Au (0.356, 0.356, 0.791)
Au (0.476, 0.153, 0.297)
Au (0.524, 0.847, 0.703)
Au (0.644, 0.644, 0.209)
Au (0.847, 0.524, 0.703)

Output
- formation energy (eV per formula unit) = -0.190
- density (Mg/m³) = 13.0
- space group = C2/m (12)
- magnetization (Bohr magnetons per cell) = 0.0